Record 1
# HfNi2N

Crystalline HfNi2N at its relaxed geometry (PBE, Alexandria).

a b c (Å): 4.1169 4.1169 4.1169
angles (deg): 60.00 60.00 60.00
Closest atoms and distances in Å follow each position.
Atoms (fractional coordinates):
Ni  0.2500  0.2500  0.2500  4 Hf 2.52, 4 N 2.52
N  0.0000  0.0000  0.0000  8 Ni 2.52
Hf  0.5000  0.5000  0.5000  8 Ni 2.52
Ni  0.7500  0.7500  0.7500  4 Hf 2.52, 4 N 2.52

Computed properties:
SG = Fm-3m
Magnetization = 0.00 Bohr magnetons per cell
Energy relative to the lowest polymorph listed for this composition = 496.5 meV per atom
Formation energy (no corrections) = 2.5 eV/f.u.
Volume = 49.34 Å³/f.u.
DOS(E_F) = 0.5219 states/eV/atom

Record 2
# Hf3NiN

Crystalline Hf3NiN at its relaxed geometry (PBE, Alexandria).

a b c (Å): 4.3448 4.3448 4.3448
angles (deg): 90.00 90.00 90.00
Closest atoms and distances in Å follow each position.
Atoms (fractional coordinates):
N  0.0000  0.0000  0.0000  6 Hf 2.17
Ni  0.5000  0.5000  0.5000  12 Hf 3.07
Hf  0.0000  0.5000  0.0000  2 N 2.17
Hf  0.0000  0.0000  0.5000  2 N 2.17
Hf  0.5000  0.0000  0.0000  2 N 2.17

Computed properties:
SG = Pm-3m
Magnetization = 0.00 Bohr magnetons per cell
Formation energy (no corrections) = -3.8 eV/f.u.
Volume = 82.02 Å³/f.u.
DOS(E_F) = 0.4476 states/eV/atom

Record 3
# HfPaNiN3

Crystalline HfPaNiN3 at its relaxed geometry (PBE, Alexandria).

a b c (Å): 3.2468 6.8364 6.9497
angles (deg): 102.61 90.00 90.00
Closest atoms and distances in Å follow each position.
Atoms (fractional coordinates):
Ni  0.7500  0.8878  0.4059  4 N 1.97-2.19
N  0.7500  0.2155  0.4879  3 Ni 1.98-2.19
Pa  0.7500  0.8192  0.7821  7 N 2.31-2.57
N  0.2500  0.5750  0.8458  3 Hf 2.20-2.26, 2 Pa 2.44
N  0.7500  0.8843  0.1220  1 Ni 1.97
Ni  0.2500  0.1122  0.5941  4 N 1.97-2.19
N  0.7500  0.4250  0.1542  3 Hf 2.20-2.26, 2 Pa 2.44
Hf  0.2500  0.6587  0.1693  6 N 2.20-2.35
N  0.2500  0.1157  0.8780  1 Ni 1.97
Pa  0.2500  0.1808  0.2179  7 N 2.31-2.57
N  0.2500  0.7845  0.5121  3 Ni 1.98-2.19
Hf  0.7500  0.3413  0.8307  6 N 2.20-2.35

Computed properties:
SG = P2_1/m
Magnetization = 0.00 Bohr magnetons per cell
Formation energy (no corrections) = -7.1 eV/f.u.
Volume = 75.27 Å³/f.u.
DOS(E_F) = 0.3228 states/eV/atom

Record 4
# PmHf2NiN4

Crystalline PmHf2NiN4 at its relaxed geometry (PBE, Alexandria).

a b c (Å): 3.2394 5.6973 11.0783
angles (deg): 90.00 90.00 106.52
Closest atoms and distances in Å follow each position.
Atoms (fractional coordinates):
N  0.2670  0.5340  0.3894  1 Ni 1.97, 1 Hf 2.14
N  0.4434  0.8867  0.7500  2 Ni 1.94
Ni  0.1549  0.3097  0.2500  4 N 1.94-1.97
Pm  0.8912  0.7825  0.2500  6 N 2.43-2.62
N  0.0000  0.0000  0.0000  4 Hf 2.26
Ni  0.8451  0.6903  0.7500  4 N 1.94-1.97
N  0.7330  0.4660  0.8894  1 Ni 1.97, 1 Hf 2.14
Hf  0.3674  0.7348  0.5556  6 N 2.14-2.31
N  0.2670  0.5340  0.1106  1 Ni 1.97, 1 Hf 2.14
N  0.0000  0.0000  0.5000  4 Hf 2.26
Hf  0.6326  0.2652  0.0556  6 N 2.14-2.31
Pm  0.1088  0.2175  0.7500  6 N 2.43-2.62
N  0.7330  0.4660  0.6106  1 Ni 1.97, 1 Hf 2.14
Hf  0.6326  0.2652  0.4444  6 N 2.14-2.31
Hf  0.3674  0.7348  0.9444  6 N 2.14-2.31
N  0.5566  0.1133  0.2500  2 Ni 1.94

Computed properties:
SG = Cmcm
Magnetization = 0.00 Bohr magnetons per cell
Formation energy (no corrections) = -10.8 eV/f.u.
Volume = 98.01 Å³/f.u.
DOS(E_F) = 0.2987 states/eV/atom

Record 5
# HfNiS2N

Crystalline HfNiS2N at its relaxed geometry (PBE, Alexandria).

a b c (Å): 4.9626 4.9626 4.0777
angles (deg): 90.00 90.00 90.00
Closest atoms and distances in Å follow each position.
Atoms (fractional coordinates):
Ni  0.5000  0.5000  0.5000  8 S 3.21, 4 N 3.51
N  0.0000  0.0000  0.5000  2 Hf 2.04
S  0.5000  0.0000  0.0000  2 Hf 2.48
Hf  0.0000  0.0000  0.0000  2 N 2.04
S  0.0000  0.5000  0.0000  2 Hf 2.48

Computed properties:
SG = P4/mmm
Magnetization = 1.46 Bohr magnetons per cell
Energy relative to the lowest polymorph listed for this composition = 228.8 meV per atom
Formation energy (no corrections) = 1.6 eV/f.u.
Volume = 100.42 Å³/f.u.
DOS(E_F) = 1.8051 states/eV/atom

Record 6
# HfNiS2N

Crystalline HfNiS2N at its relaxed geometry (PBE, Alexandria).

a b c (Å): 4.5375 4.5375 3.5244
angles (deg): 90.00 90.00 90.00
Closest atoms and distances in Å follow each position.
Atoms (fractional coordinates):
N  0.0000  0.0000  0.5000  2 Ni 1.76
Hf  0.5000  0.5000  0.5000  8 S 2.87, 4 N 3.21
Ni  0.0000  0.0000  0.0000  2 N 1.76
S  0.0000  0.5000  0.0000  2 Ni 2.27
S  0.5000  0.0000  0.0000  2 Ni 2.27

Computed properties:
SG = P4/mmm
Magnetization = 0.06 Bohr magnetons per cell
Energy relative to the lowest polymorph listed for this composition = 0.0 meV per atom
Formation energy (no corrections) = 0.4 eV/f.u.
Volume = 72.56 Å³/f.u.
DOS(E_F) = 0.9839 states/eV/atom

Record 7
# HfNiSeN2

Crystalline HfNiSeN2 at its relaxed geometry (PBE, Alexandria).

a b c (Å): 3.8329 3.8329 4.4741
angles (deg): 90.00 90.00 90.00
Closest atoms and distances in Å follow each position.
Atoms (fractional coordinates):
N  0.5000  0.0000  0.0000  2 Ni 1.92
N  0.0000  0.5000  0.0000  2 Ni 1.92
Se  0.0000  0.0000  0.5000  2 Ni 2.24
Ni  0.0000  0.0000  0.0000  4 N 1.92
Hf  0.5000  0.5000  0.5000  4 Se 2.71, 8 N 2.95

Computed properties:
SG = P4/mmm
Magnetization = 0.00 Bohr magnetons per cell
Energy relative to the lowest polymorph listed for this composition = 46.8 meV per atom
Formation energy (no corrections) = 3.2 eV/f.u.
Volume = 65.73 Å³/f.u.
DOS(E_F) = 0.8434 states/eV/atom

Record 8
# HfNiSeN2

Crystalline HfNiSeN2 at its relaxed geometry (PBE, Alexandria).

a b c (Å): 4.0200 4.0200 5.6177
angles (deg): 90.00 90.00 90.00
Closest atoms and distances in Å follow each position.
Atoms (fractional coordinates):
N  0.0000  0.5000  0.0000  2 Hf 2.01
Hf  0.0000  0.0000  0.0000  4 N 2.01
Se  0.0000  0.0000  0.5000  2 Hf 2.81, 4 Ni 2.84
N  0.5000  0.0000  0.0000  2 Hf 2.01
Ni  0.5000  0.5000  0.5000  4 Se 2.84

Computed properties:
SG = P4/mmm
Magnetization = 1.36 Bohr magnetons per cell
Energy relative to the lowest polymorph listed for this composition = 0.0 meV per atom
Formation energy (no corrections) = 3.0 eV/f.u.
Volume = 90.79 Å³/f.u.
DOS(E_F) = 1.0884 states/eV/atom